(1)
Material: Tb2TmInN4
Method: DFT, PBE-GGA
State: optimized geometry

Results
The raw total energy is -59.40 eV per cell. The uncorrected formation energy comes out at -1.20 eV per atom.

Lattice parameters (Å, degrees): 5.948 3.448 5.975 90.00 110.44 90.00
Space group P2/m (No. 10)
Asymmetric unit:
Tb: 0.000 0.000 0.000 (multiplicity 1)
Tb: 0.000 0.500 0.500 (multiplicity 1)
Tm: 0.500 0.000 0.500 (multiplicity 1)
In: 0.500 0.500 0.000 (multiplicity 1)
N: 0.249 0.500 0.259 (multiplicity 2)
N: 0.254 0.000 0.749 (multiplicity 2)

=====

(2)
Material: TbTm2InN
Method: DFT, PBE-GGA
State: optimized geometry

Results
The raw total energy is -29.67 eV per cell. For the density of states at the Fermi level, the calculation gives 0.4805 states/eV per atom. The uncorrected formation energy comes out at -1.01 eV per atom.

Lattice parameters (Å, degrees): 4.740 4.740 4.842 90.00 90.00 90.00
Space group P4/mmm (No. 123)
Asymmetric unit:
Tb: 0.000 0.000 0.000 (multiplicity 1)
Tm: 0.000 0.500 0.500 (multiplicity 2)
In: 0.500 0.500 0.000 (multiplicity 1)
N: 0.000 0.000 0.500 (multiplicity 1)

=====

(3)
Material: TbY2InN
Method: DFT, PBE-GGA
State: optimized geometry

Results
The raw total energy is -33.65 eV per cell. For the density of states at the Fermi level, the calculation gives 0.5188 states/eV per atom. The uncorrected formation energy comes out at -1.01 eV per atom.

Lattice parameters (Å, degrees): 4.832 4.832 4.852 90.00 90.00 90.00
Space group P4/mmm (No. 123)
Asymmetric unit:
Tb: 0.000 0.000 0.000 (multiplicity 1)
Y: 0.000 0.500 0.500 (multiplicity 2)
In: 0.500 0.500 0.000 (multiplicity 1)
N: 0.000 0.000 0.500 (multiplicity 1)

=====

(4)
Material: Tb2YInN4
Method: DFT, PBE-GGA
State: optimized geometry

Results
The raw total energy is -61.12 eV per cell. The uncorrected formation energy comes out at -1.17 eV per atom.

Lattice parameters (Å, degrees): 5.995 3.466 6.007 90.00 110.53 90.00
Space group P2/m (No. 10)
Asymmetric unit:
Tb: 0.000 0.000 0.000 (multiplicity 1)
Tb: 0.000 0.500 0.500 (multiplicity 1)
Y: 0.500 0.000 0.500 (multiplicity 1)
In: 0.500 0.500 0.000 (multiplicity 1)
N: 0.244 0.500 0.257 (multiplicity 2)
N: 0.252 0.000 0.751 (multiplicity 2)

=====

(5)
Material: Tb2ZrInN4
Method: DFT, PBE-GGA
State: optimized geometry

Results
The raw total energy is -63.00 eV per cell. For the density of states at the Fermi level, the calculation gives 0.2086 states/eV per atom. The uncorrected formation energy comes out at -1.14 eV per atom.

Lattice parameters (Å, degrees): 5.871 3.386 5.928 90.00 110.46 90.00
Space group P2/m (No. 10)
Asymmetric unit:
Tb: 0.000 0.000 0.000 (multiplicity 1)
Tb: 0.000 0.500 0.500 (multiplicity 1)
Zr: 0.500 0.000 0.500 (multiplicity 1)
In: 0.500 0.500 0.000 (multiplicity 1)
N: 0.262 0.500 0.265 (multiplicity 2)
N: 0.264 0.000 0.747 (multiplicity 2)

=====

(6)
Material: InTcN2
Method: DFT, PBE-GGA
State: optimized geometry

Results
The raw total energy is -80.96 eV per cell. For the density of states at the Fermi level, the calculation gives 0.3701 states/eV per atom. The uncorrected formation energy comes out at 0.69 eV per atom.

Lattice parameters (Å, degrees): 3.2507 3.2507 18.7180 90.00 90.00 120.00
Space group R-3m (No. 166, hexagonal axes)
Asymmetric unit:
In: 0.0000 0.0000 0.0000 (multiplicity 3)
Tc: 0.0000 0.0000 0.5000 (multiplicity 3)
N: 0.0000 0.0000 0.4006 (multiplicity 6)

=====

(7)
Material: InTc3N
Method: DFT, PBE-GGA
State: optimized geometry

Results
The raw total energy is -41.83 eV per cell. For the density of states at the Fermi level, the calculation gives 0.9411 states/eV per atom. The uncorrected formation energy comes out at 0.07 eV per atom. The value obtained for the energy above the most stable polymorph in this dataset is 0.000 eV/atom.

Lattice parameters (Å, degrees): 4.130 4.130 4.130 90.00 90.00 90.00
Space group Pm-3m (No. 221)
Asymmetric unit:
In: 0.000 0.000 0.000 (multiplicity 1)
Tc: 0.000 0.500 0.500 (multiplicity 3)
N: 0.500 0.500 0.500 (multiplicity 1)

=====

(8)
Material: In2TcN
Method: DFT, PBE-GGA
State: optimized geometry

Results
The raw total energy is -83.44 eV per cell. For the density of states at the Fermi level, the calculation gives 0.9469 states/eV per atom. The uncorrected formation energy comes out at 0.83 eV per atom.

Lattice parameters (Å, degrees): 6.862 6.862 5.794 90.00 90.00 90.00
Space group I-42d (No. 122)
Asymmetric unit:
In: 0.184 0.250 0.125 (multiplicity 8)
Tc: 0.000 0.000 0.500 (multiplicity 4)
N: 0.000 0.000 0.000 (multiplicity 4)

=====

(9)
Material: InTc2N
Method: DFT, PBE-GGA
State: optimized geometry

Results
The raw total energy is -122.35 eV per cell. For the density of states at the Fermi level, the calculation gives 0.7730 states/eV per atom. The uncorrected formation energy comes out at 0.30 eV per atom. The value obtained for the energy above the most stable polymorph in this dataset is 0.000 eV/atom.

Lattice parameters (Å, degrees): 6.512 6.512 5.730 90.00 90.00 90.00
Space group I-42d (No. 122)
Asymmetric unit:
In: 0.000 0.000 0.000 (multiplicity 4)
Tc: 0.134 0.250 0.625 (multiplicity 8)
N: 0.000 0.000 0.500 (multiplicity 4)

=====

(10)
Material: InTcN2
Method: DFT, PBE-GGA
State: optimized geometry

Results
The raw total energy is -85.99 eV per cell. For the density of states at the Fermi level, the calculation gives 0.2537 states/eV per atom. The uncorrected formation energy comes out at 0.27 eV per atom.

Lattice parameters (Å, degrees): 2.9495 2.9495 20.7468 90.00 90.00 120.00
Space group R-3m (No. 166, hexagonal axes)
Asymmetric unit:
In: 0.0000 0.0000 0.0000 (multiplicity 3)
Tc: 0.0000 0.0000 0.5000 (multiplicity 3)
N: 0.0000 0.0000 0.1092 (multiplicity 6)

=====

(11)
Material: InTcN3
Method: DFT, PBE-GGA
State: optimized geometry

Results
The raw total energy is -25.57 eV per cell. For the density of states at the Fermi level, the calculation gives 1.6238 states/eV per atom. The uncorrected formation energy comes out at 2.50 eV per atom.

Lattice parameters (Å, degrees): 4.039 4.039 4.039 90.00 90.00 90.00
Space group Pm-3m (No. 221)
Asymmetric unit:
In: 0.000 0.000 0.000 (multiplicity 1)
Tc: 0.500 0.500 0.500 (multiplicity 1)
N: 0.000 0.000 0.500 (multiplicity 3)

=====

(12)
Material: In2Tc2N
Method: DFT, PBE-GGA
State: optimized geometry

Results
The raw total energy is -57.19 eV per cell. For the density of states at the Fermi level, the calculation gives 0.6100 states/eV per atom. The uncorrected formation energy comes out at 1.19 eV per atom.

Lattice parameters (Å, degrees): 6.162 6.162 4.629 90.00 90.00 90.00
Space group P4/mbm (No. 127)
Asymmetric unit:
In: 0.170 0.330 0.000 (multiplicity 4)
Tc: 0.132 0.632 0.500 (multiplicity 4)
N: 0.000 0.000 0.000 (multiplicity 2)

=====

(13)
Material: InTc3N
Method: DFT, PBE-GGA
State: optimized geometry

Results
The raw total energy is -24.73 eV per cell. For the density of states at the Fermi level, the calculation gives 1.8245 states/eV per atom. The uncorrected formation energy comes out at 3.49 eV per atom. The value obtained for the energy above the most stable polymorph in this dataset is 3.419 eV/atom.

Lattice parameters (Å, degrees): 5.078 5.078 5.078 90.00 90.00 90.00
Space group Pm-3m (No. 221)
Asymmetric unit:
In: 0.000 0.000 0.000 (multiplicity 1)
Tc: 0.000 0.000 0.500 (multiplicity 3)
N: 0.500 0.500 0.500 (multiplicity 1)

=====

(14)
Material: InTcN2
Method: DFT, PBE-GGA
State: optimized geometry

Results
The raw total energy is -113.07 eV per cell. For the density of states at the Fermi level, the calculation gives 0.6376 states/eV per atom. The uncorrected formation energy comes out at 0.37 eV per atom.

Lattice parameters (Å, degrees): 4.906 4.906 9.850 90.00 90.00 90.00
Space group I-42d (No. 122)
Asymmetric unit:
In: 0.000 0.000 0.000 (multiplicity 4)
Tc: 0.000 0.000 0.500 (multiplicity 4)
N: 0.183 0.250 0.625 (multiplicity 8)

=====

(15)
Material: InTc2N
Method: DFT, PBE-GGA
State: optimized geometry

Results
The raw total energy is -90.69 eV per cell. For the density of states at the Fermi level, the calculation gives 0.6684 states/eV per atom. The uncorrected formation energy comes out at 0.39 eV per atom. The value obtained for the energy above the most stable polymorph in this dataset is 0.089 eV/atom.

Lattice parameters (Å, degrees): 3.2020 3.2020 21.9712 90.00 90.00 120.00
Space group R-3m (No. 166, hexagonal axes)
Asymmetric unit:
In: 0.0000 0.0000 0.0000 (multiplicity 3)
Tc: 0.0000 0.0000 0.1227 (multiplicity 6)
N: 0.0000 0.0000 0.5000 (multiplicity 3)

=====

(16)
Material: In3TcN
Method: DFT, PBE-GGA
State: optimized geometry

Results
The raw total energy is -22.56 eV per cell. For the density of states at the Fermi level, the calculation gives 0.3516 states/eV per atom. The uncorrected formation energy comes out at 0.87 eV per atom. The value obtained for the energy above the most stable polymorph in this dataset is 0.000 eV/atom.

Lattice parameters (Å, degrees): 4.530 4.530 4.530 90.00 90.00 90.00
Space group Pm-3m (No. 221)
Asymmetric unit:
In: 0.000 0.000 0.500 (multiplicity 3)
Tc: 0.500 0.500 0.500 (multiplicity 1)
N: 0.000 0.000 0.000 (multiplicity 1)

=====

(17)
Material: InTcN3
Method: DFT, PBE-GGA
State: optimized geometry

Results
The raw total energy is -34.15 eV per cell. For the density of states at the Fermi level, the calculation gives 0.6455 states/eV per atom. The uncorrected formation energy comes out at 0.79 eV per atom.

Lattice parameters (Å, degrees): 3.938 3.938 3.938 90.00 90.00 90.00
Space group Pm-3m (No. 221)
Asymmetric unit:
In: 0.000 0.000 0.000 (multiplicity 1)
Tc: 0.500 0.500 0.500 (multiplicity 1)
N: 0.000 0.500 0.500 (multiplicity 3)

=====

(18)
Material: In3TcN
Method: DFT, PBE-GGA
State: optimized geometry

Results
The raw total energy is -20.78 eV per cell. For the density of states at the Fermi level, the calculation gives 0.5549 states/eV per atom. The uncorrected formation energy comes out at 1.23 eV per atom. The value obtained for the energy above the most stable polymorph in this dataset is 0.357 eV/atom.

Lattice parameters (Å, degrees): 5.225 5.225 5.225 90.00 90.00 90.00
Space group Pm-3m (No. 221)
Asymmetric unit:
In: 0.000 0.000 0.500 (multiplicity 3)
Tc: 0.000 0.000 0.000 (multiplicity 1)
N: 0.500 0.500 0.500 (multiplicity 1)

=====

(19)
Material: InTcN
Method: DFT, PBE-GGA
State: optimized geometry

Results
The raw total energy is -125.04 eV per cell. For the density of states at the Fermi level, the calculation gives 0.5271 states/eV per atom. The uncorrected formation energy comes out at 0.20 eV per atom.

Lattice parameters (Å, degrees): 3.3542 3.3542 29.1606 90.00 90.00 120.00
Space group R-3m (No. 166, hexagonal axes)
Asymmetric unit:
In: 0.0000 0.0000 0.1224 (multiplicity 6)
Tc: 0.0000 0.0000 0.3783 (multiplicity 6)
N: 0.0000 0.0000 0.3016 (multiplicity 6)

=====

(20)
Material: InTc2N
Method: DFT, PBE-GGA
State: optimized geometry

Results
The raw total energy is -103.69 eV per cell. For the density of states at the Fermi level, the calculation gives 0.8678 states/eV per atom. The uncorrected formation energy comes out at 1.47 eV per atom. The value obtained for the energy above the most stable polymorph in this dataset is 1.166 eV/atom.

Lattice parameters (Å, degrees): 6.145 6.145 6.145 90.00 90.00 90.00
Space group Fm-3m (No. 225)
Asymmetric unit:
In: 0.000 0.000 0.000 (multiplicity 4)
Tc: 0.250 0.250 0.250 (multiplicity 8)
N: 0.000 0.000 0.500 (multiplicity 4)